## CrCuF2 (PBE+U)

Data for a geometry-optimized CrCuF2 structure.

```
4
Lattice="1.625 0.938 6.391 -1.625 0.938 6.391 0.000 -1.877 6.391" Properties=species:S:1:pos:R:3 pbc="T T T"
Cr 0.000 0.000 0.000
Cu 0.000 0.000 9.587
F 0.000 0.000 1.989
F 0.000 0.000 17.185
```

Computed properties:
**DOS(E_F)**: 0.220 states/eV/atom
**Total DFT energy (no corrections)**: -4.931 eV per atom
**Volume**: 14.62 Å³/atom
**Energy above the lowest structure with this stoichiometry**: 0.0000 eV per atom